## PmY2Tm8 (PBE-GGA)

Data for a geometry-optimized PmY2Tm8 structure.

## Properties
Density of states at the Fermi level ... 19.17 states/eV/cell
SG ... C2/m
Magnetization ... 0.00 μB/f.u.
DFT formation energy ... 0.11 eV/atom

```
PmY2Tm8
1.0
5.382 0.000 0.000
0.000 8.259 -0.143
-2.691 -3.628 7.792
Y Tm Pm
2 8 1
Cartesian
2.691 0.693 4.576 Y
0.000 3.939 3.073 Y
0.000 1.805 5.927 Tm
2.691 4.170 5.215 Tm
0.000 -1.546 5.179 Tm
0.000 0.462 2.433 Tm
2.691 6.177 2.470 Tm
0.000 5.827 0.205 Tm
2.691 2.826 1.722 Tm
2.691 -1.196 7.444 Tm
2.691 0.000 0.000 Pm
```

## Ac3NpS7 (PBE-GGA)

Data for a geometry-optimized Ac3NpS7 structure.

## Properties
Density of states at the Fermi level ... 12.27 states/eV/cell
SG ... Cmcm
Formation energy (no corrections) ... -1.833 eV/atom
Magnetization ... 2.00 μB/f.u.

```
Ac3NpS7
1.0
-5.766 5.403 -2.537
-1.031 -2.300 7.907
5.670 7.410 2.895
Ac S Np
6 14 2
Cartesian
-2.252 2.326 6.698 Ac
3.178 4.847 6.096 Ac
1.125 8.187 1.567 Ac
0.000 0.000 0.000 Ac
2.835 3.705 1.448 Ac
-4.305 5.666 2.169 Ac
-3.566 6.185 -0.604 S
-1.211 0.235 3.102 S
-0.067 5.348 1.596 S
1.317 8.272 7.884 S
-2.293 7.172 3.950 S
-1.060 5.165 6.670 S
-1.075 10.048 1.116 S
2.440 4.328 8.870 S
-2.444 2.241 0.382 S
-2.622 3.697 3.915 S
1.166 3.342 4.316 S
1.495 6.817 4.350 S
-0.051 0.466 7.150 S
0.084 10.279 5.164 S
-0.563 5.257 4.133 Np
-3.399 1.552 2.685 Np
```

## Te3Rh (PBE-GGA)

Data for a geometry-optimized Te3Rh structure.

## Properties
Density of states at the Fermi level ... 1.93 states/eV/cell
SG ... Immm
Formation energy (no corrections) ... -0.054 eV/atom
Magnetization ... 0.00 μB/f.u.

```
Te3Rh
1.0
-1.853 2.366 6.037
1.853 -2.366 6.037
1.853 2.366 -6.037
Rh Te
1 3
Cartesian
0.000 2.366 0.000 Rh
1.853 0.000 0.000 Te
0.000 0.000 8.027 Te
0.000 0.000 4.046 Te
```

## Eu2PdSe (PBE-GGA)

Data for a geometry-optimized Eu2PdSe structure.

## Properties
Density of states at the Fermi level ... 18.12 states/eV/cell
SG ... P4/mmm
Relative energy among the computed polymorphs ... 0.0455 eV per atom
Formation energy (no corrections) ... -1.174 eV/atom
Magnetization ... 13.93 μB/f.u.

```
Eu2PdSe
1.0
3.683 0.000 0.000
0.000 3.683 0.000
0.000 0.000 7.372
Eu Pd Se
2 1 1
Cartesian
0.000 0.000 1.851 Eu
0.000 0.000 5.521 Eu
1.842 1.842 0.000 Pd
1.842 1.842 3.686 Se
```

## Dy4TmZn (PBE-GGA)

Data for a geometry-optimized Dy4TmZn structure.

## Properties
Density of states at the Fermi level ... 7.29 states/eV/cell
SG ... P4/mmm
Relative energy among the computed polymorphs ... 0.0000 eV per atom
Magnetization ... 0.00 μB/f.u.
DFT formation energy ... -0.10 eV/atom

```
Dy4TmZn
1.0
3.537 0.000 0.000
0.000 3.537 0.000
0.000 0.000 13.612
Dy Zn Tm
4 1 1
Cartesian
0.000 0.000 5.016 Dy
0.000 0.000 8.596 Dy
1.768 1.768 2.471 Dy
1.768 1.768 11.141 Dy
1.768 1.768 6.806 Zn
0.000 0.000 0.000 Tm
```

## DyThGa2Rh5 (PBE-GGA)

Data for a geometry-optimized DyThGa2Rh5 structure.

## Properties
Density of states at the Fermi level ... 4.81 states/eV/cell
SG ... P4/mmm
Magnetization ... 0.00 μB/f.u.
DFT formation energy ... -0.70 eV/atom

```
DyThGa2Rh5
1.0
4.468 0.000 0.000
0.000 4.468 0.000
0.000 0.000 8.053
Rh Ga Dy Th
5 2 1 1
Cartesian
2.234 0.000 5.884 Rh
0.000 2.234 2.169 Rh
2.234 0.000 2.169 Rh
2.234 2.234 4.026 Rh
0.000 2.234 5.884 Rh
2.234 2.234 6.792 Ga
2.234 2.234 1.261 Ga
0.000 0.000 4.026 Dy
0.000 0.000 0.000 Th
```

## CeScTeO6 (PBE-GGA)

Data for a geometry-optimized CeScTeO6 structure.

## Properties
Density of states at the Fermi level ... 12.83 states/eV/cell
SG ... P-31c
Formation energy (no corrections) ... -2.438 eV/atom
Magnetization ... 1.05 μB/f.u.

```
CeScTeO6
1.0
5.393 0.000 0.000
-2.697 4.671 0.000
0.000 0.000 10.032
Ce O Te Sc
2 12 2 2
Cartesian
0.000 0.000 5.016 Ce
0.000 0.000 0.000 Ce
1.644 3.037 1.403 O
-0.755 4.576 1.403 O
3.585 2.942 8.629 O
-1.644 3.037 3.613 O
0.888 1.729 3.613 O
1.808 2.942 6.419 O
-0.888 1.729 1.403 O
4.340 1.634 6.419 O
0.755 4.576 3.613 O
1.053 1.634 8.629 O
3.452 0.095 8.629 O
1.941 0.095 6.419 O
0.000 3.114 2.508 Te
2.697 1.557 7.524 Te
0.000 3.114 7.524 Sc
2.697 1.557 2.508 Sc
```

## BaAsOs2 (PBE-GGA)

Data for a geometry-optimized BaAsOs2 structure.

## Properties
Density of states at the Fermi level ... 5.25 states/eV/cell
SG ... R-3m
Magnetization ... 0.00 μB/f.u.
DFT formation energy ... 0.98 eV/atom

```
BaAsOs2
1.0
-2.847 7.750 4.261
-5.551 6.114 4.257
-3.421 5.640 6.543
Os As Ba
2 1 1
Cartesian
-6.157 10.162 7.847 Os
-11.571 19.095 14.745 Os
-2.955 4.876 3.765 As
-8.864 14.629 11.296 Ba
```

## Ac6Sb3Se2I (PBE-GGA)

Data for a geometry-optimized Ac6Sb3Se2I structure.

## Properties
Density of states at the Fermi level ... 5.48 states/eV/cell
SG ... C2/m
Formation energy (no corrections) ... -1.398 eV/atom
Magnetization ... 0.00 μB/f.u.

```
Ac6Sb3Se2I
1.0
-1.233 3.456 -2.948
1.366 -5.694 -7.248
-9.154 -3.436 3.560
Ac I Se Sb
6 1 2 3
Cartesian
-3.136 -2.155 -4.973 Ac
0.226 -1.543 -1.904 Ac
-9.247 -4.130 -4.732 Ac
-3.909 0.576 -1.447 Ac
-5.113 -6.249 -5.188 Ac
-5.886 -3.518 -1.663 Ac
-0.617 1.728 -1.474 I
-2.840 -2.488 -1.729 Se
-6.181 -3.185 -4.906 Se
-1.991 -5.300 -5.381 Sb
-7.031 -0.373 -1.254 Sb
0.066 -1.119 -5.098 Sb
```

## YIn2Co (PBE-GGA)

Data for a geometry-optimized YIn2Co structure.

## Properties
Density of states at the Fermi level ... 8.05 states/eV/cell
SG ... Pmma
Magnetization ... 0.73 μB/f.u.
DFT formation energy ... 0.21 eV/atom

```
YIn2Co
1.0
5.091 0.000 0.000
0.000 5.423 0.000
0.000 0.000 6.746
Y In Co
2 4 2
Cartesian
0.000 2.795 5.060 Y
0.000 2.628 1.687 Y
2.546 0.906 5.060 In
0.000 0.000 0.000 In
0.000 0.000 3.373 In
2.546 4.516 1.687 In
2.546 1.814 1.687 Co
2.546 3.608 5.060 Co
```

## CaTiS2N (PBE-GGA)

Data for a geometry-optimized CaTiS2N structure.

## Properties
Density of states at the Fermi level ... 2.16 states/eV/cell
SG ... P4/mmm
Relative energy among the computed polymorphs ... 0.0000 eV per atom
Formation energy (no corrections) ... -1.043 eV/atom
Magnetization ... 0.96 μB/f.u.

```
CaTiS2N
1.0
-3.011 -1.363 -3.554
3.622 0.370 -3.210
0.938 -3.714 0.630
S N Ti Ca
2 1 1 1
Cartesian
-1.505 -0.682 -1.777 S
1.811 0.185 -1.605 S
0.469 -1.857 0.315 N
0.000 0.000 0.000 Ti
0.774 -2.354 -3.067 Ca
```

## Ac2GaCu12Ni3 (PBE-GGA)

Data for a geometry-optimized Ac2GaCu12Ni3 structure.

## Properties
Density of states at the Fermi level ... 9.95 states/eV/cell
SG ... R-3m
Magnetization ... 0.00 μB/f.u.
DFT formation energy ... 0.34 eV/atom

```
Ac2GaCu12Ni3
1.0
7.747 -0.125 -0.089
3.717 6.798 -0.089
3.717 2.164 6.445
Cu Ga Ac Ni
12 1 2 3
Cartesian
12.534 5.809 4.120 Cu
3.752 2.184 4.142 Cu
3.941 0.807 2.148 Cu
2.648 3.028 2.148 Cu
3.941 2.294 0.052 Cu
3.752 4.631 0.692 Cu
11.241 6.543 6.217 Cu
11.430 4.206 5.576 Cu
11.430 6.653 2.127 Cu
9.302 7.861 5.576 Cu
5.880 0.976 0.692 Cu
11.241 8.030 4.120 Cu
0.000 0.000 0.000 Ga
9.250 5.385 3.819 Ac
5.932 3.453 2.449 Ac
1.859 3.399 -0.044 Ni
3.874 -0.062 -0.044 Ni
1.859 1.082 3.223 Ni
```

## CoMo4N5 (PBE-GGA)

Data for a geometry-optimized CoMo4N5 structure.

## Properties
Density of states at the Fermi level ... 4.78 states/eV/cell
SG ... Amm2
Formation energy (no corrections) ... -0.146 eV/atom
Magnetization ... 0.22 μB/f.u.

```
CoMo4N5
1.0
1.428 -12.482 0.000
1.428 12.482 0.000
0.000 0.000 2.819
Mo N Co
4 5 1
Cartesian
1.428 -7.532 0.000 Mo
1.428 7.493 0.000 Mo
1.428 2.416 0.000 Mo
1.428 -2.529 0.000 Mo
1.428 0.806 1.409 N
1.428 -9.196 1.409 N
1.428 10.753 1.409 N
1.428 5.820 1.409 N
1.428 -4.189 1.409 N
1.428 -12.168 0.000 Co
```

## Nb3GaSi (PBE-GGA)

Data for a geometry-optimized Nb3GaSi structure.

## Properties
Density of states at the Fermi level ... 6.28 states/eV/cell
SG ... Pm-3m
Relative energy among the computed polymorphs ... 0.4810 eV per atom
Formation energy (no corrections) ... 0.596 eV/atom
Magnetization ... 1.38 μB/f.u.

```
Nb3GaSi
1.0
4.666 0.000 0.000
0.000 4.666 0.000
0.000 0.000 4.666
Nb Si Ga
3 1 1
Cartesian
0.000 2.333 0.000 Nb
0.000 0.000 2.333 Nb
2.333 0.000 0.000 Nb
0.000 0.000 0.000 Si
2.333 2.333 2.333 Ga
```

## Pm8Al2Ir (PBE-GGA)

Data for a geometry-optimized Pm8Al2Ir structure.

## Properties
Density of states at the Fermi level ... 9.81 states/eV/cell
SG ... C2/m
Magnetization ... 0.00 μB/f.u.
DFT formation energy ... -0.27 eV/atom

```
Pm8Al2Ir
1.0
-2.570 4.255 1.350
-5.687 -2.559 -2.759
1.038 -5.099 8.219
Pm Ir Al
8 1 2
Cartesian
-3.362 -3.843 5.714 Pm
-6.849 -1.240 0.697 Pm
-1.800 -2.012 2.915 Pm
-0.369 -2.163 6.114 Pm
-5.419 -1.391 3.896 Pm
-4.457 -2.123 -1.794 Pm
-3.857 0.440 1.097 Pm
-2.761 -1.280 8.604 Pm
-1.285 2.128 0.675 Ir
-4.291 -2.996 1.276 Al
-2.928 -0.407 5.535 Al
```

## Co5Rh (PBE-GGA)

Data for a geometry-optimized Co5Rh structure.

## Properties
Density of states at the Fermi level ... 7.57 states/eV/cell
SG ... Pmmm
Magnetization ... 9.09 μB/f.u.
DFT formation energy ... 0.05 eV/atom

```
Co5Rh
1.0
2.565 0.000 0.000
0.000 7.651 0.000
0.000 0.000 3.549
Co Rh
5 1
Cartesian
0.000 0.114 0.000 Co
0.000 4.987 0.000 Co
0.000 2.550 0.000 Co
1.282 3.772 1.774 Co
1.282 1.329 1.774 Co
1.282 6.376 1.774 Rh
```

## TlTcHg (PBE-GGA)

Data for a geometry-optimized TlTcHg structure.

## Properties
Density of states at the Fermi level ... 2.37 states/eV/cell
SG ... P3m1
Relative energy among the computed polymorphs ... 0.0000 eV per atom
Magnetization ... 1.21 μB/f.u.
DFT formation energy ... 0.71 eV/atom

```
TlTcHg
1.0
3.117 0.000 0.000
-1.559 2.700 0.000
0.000 0.000 7.434
Tc Hg Tl
1 1 1
Cartesian
0.000 1.800 2.459 Tc
0.000 0.000 0.181 Hg
1.559 0.900 4.794 Tl
```

## SmDy2Lu (PBE-GGA)

Data for a geometry-optimized SmDy2Lu structure.

## Properties
Density of states at the Fermi level ... 5.38 states/eV/cell
SG ... P4/mmm
Relative energy among the computed polymorphs ... 0.0016 eV per atom
Magnetization ... 0.00 μB/f.u.
DFT formation energy ... 0.03 eV/atom

```
SmDy2Lu
1.0
-0.779 2.957 -1.779
-1.433 -1.936 -2.591
-8.914 0.426 4.613
Dy Lu Sm
2 1 1
Cartesian
-6.735 0.322 3.485 Dy
-2.180 0.104 1.128 Dy
-1.106 0.511 -2.185 Lu
-5.564 0.723 0.122 Sm
```

## MnAg2Ir (PBE-GGA)

Data for a geometry-optimized MnAg2Ir structure.

## Properties
Density of states at the Fermi level ... 2.66 states/eV/cell
SG ... I-4m2
Relative energy among the computed polymorphs ... 0.1329 eV per atom
Magnetization ... 4.18 μB/f.u.
DFT formation energy ... 0.28 eV/atom

```
MnAg2Ir
1.0
4.787 -0.001 0.000
1.273 4.615 0.000
-3.030 -2.307 2.901
Ag Mn Ir
2 1 1
Cartesian
0.000 0.000 0.000 Ag
0.637 2.307 1.450 Ag
2.394 0.000 1.450 Mn
3.030 2.307 0.000 Ir
```

## YScTiTc2 (PBE-GGA)

Data for a geometry-optimized YScTiTc2 structure.

## Properties
Density of states at the Fermi level ... 5.91 states/eV/cell
SG ... P4/mmm
Magnetization ... 0.83 μB/f.u.
DFT formation energy ... 1.55 eV/atom

```
YScTiTc2
1.0
-2.626 -4.025 0.528
3.201 -1.684 3.078
-2.422 2.058 3.644
Tc Y Ti Sc
2 1 1 1
Cartesian
-1.313 -2.013 0.264 Tc
-1.211 1.029 1.822 Tc
0.000 0.000 0.000 Y
1.600 -0.842 1.539 Ti
-0.923 -1.826 3.625 Sc
```

## Tb2MgZn4 (PBE-GGA)

Data for a geometry-optimized Tb2MgZn4 structure.

## Properties
Density of states at the Fermi level ... 3.84 states/eV/cell
SG ... R-3m
Magnetization ... 0.00 μB/f.u.
DFT formation energy ... -0.11 eV/atom

```
Tb2MgZn4
1.0
-0.244 -3.036 3.671
0.867 -4.641 -0.681
7.908 -1.343 2.515
Mg Zn Tb
1 4 2
Cartesian
0.000 0.000 0.000 Mg
3.539 -7.216 3.565 Zn
7.162 -4.053 3.324 Zn
4.991 -1.804 1.940 Zn
1.368 -4.967 2.181 Zn
6.391 -6.766 4.127 Tb
2.140 -2.254 1.378 Tb
```

## ScCdB (PBE-GGA)

Data for a geometry-optimized ScCdB structure.

## Properties
Density of states at the Fermi level ... 3.87 states/eV/cell
SG ... Cm
Relative energy among the computed polymorphs ... 0.6218 eV per atom
Magnetization ... 0.00 μB/f.u.
DFT formation energy ... 0.13 eV/atom

```
ScCdB
1.0
3.736 0.000 -0.002
1.867 5.899 -0.016
0.003 0.447 4.715
B Sc Cd
2 2 2
Cartesian
3.167 1.134 3.875 B
3.166 4.172 2.125 B
3.166 5.565 4.226 Sc
1.299 2.692 2.935 Sc
5.033 5.656 1.865 Cd
3.166 2.378 0.608 Cd
```

## Li4ScPt (PBE-GGA)

Data for a geometry-optimized Li4ScPt structure.

## Properties
Density of states at the Fermi level ... 5.79 states/eV/cell
SG ... F-43m
Magnetization ... 0.03 μB/f.u.
DFT formation energy ... -0.20 eV/atom

```
Li4ScPt
1.0
-1.103 -0.081 4.901
-3.495 3.106 1.840
-4.417 -1.825 1.551
Li Pt Sc
4 1 1
Cartesian
-5.114 1.971 4.032 Li
-3.946 0.414 5.528 Li
-5.565 -0.438 3.891 Li
-3.407 0.454 3.133 Li
-6.762 0.900 6.219 Pt
0.000 0.000 0.000 Sc
```

## ErAl2Hg (PBE-GGA)

Data for a geometry-optimized ErAl2Hg structure.

## Properties
Density of states at the Fermi level ... 1.33 states/eV/cell
SG ... P4/mmm
Relative energy among the computed polymorphs ... 0.0000 eV per atom
Magnetization ... 0.00 μB/f.u.
DFT formation energy ... -0.33 eV/atom

```
ErAl2Hg
1.0
4.290 0.000 0.000
0.000 4.371 0.000
0.000 0.000 4.371
Hg Er Al
1 1 2
Cartesian
2.145 0.000 0.000 Hg
2.145 2.185 2.185 Er
0.000 0.000 2.185 Al
0.000 2.185 0.000 Al
```

## KNiCl2 (PBE-GGA)

Data for a geometry-optimized KNiCl2 structure.

## Properties
Density of states at the Fermi level ... 3.31 states/eV/cell
SG ... Cm
Relative energy among the computed polymorphs ... 0.0187 eV per atom
Formation energy (no corrections) ... -0.948 eV/atom
Magnetization ... 1.00 μB/f.u.

```
KNiCl2
1.0
-5.411 -3.055 2.292
-2.382 -4.370 4.371
-0.093 3.983 2.655
Cl K Ni
2 1 1
Cartesian
-0.260 0.179 0.492 Cl
-6.051 -3.814 6.408 Cl
-3.903 -1.322 4.854 K
-1.614 -0.205 2.223 Ni
```